Computed, not measured: an optimized crystal structure of Mn2AgCl2O2 at the PBE with a Hubbard U level of DFT.

Geometry as extended XYZ:
```
7
Lattice="-1.839 2.249 -2.073 0.306 -3.434 -0.925 -9.292 -2.359 5.684" Properties=species:S:1:pos:R:3 pbc="T T T"
Mn -4.728 -0.560 0.514
Mn -6.097 -2.983 2.172
Ag 0.000 0.000 0.000
Cl -1.969 -0.500 1.205
Cl -7.323 -1.859 4.479
O -6.495 -1.009 1.595
O -4.330 -2.535 1.091
```

SG: P-3m1, No. 164
final energy: -5.5300 eV/atom